[1]
First-principles (PBE) data for a relaxed structure of Tm4Pt2C, as listed in the Alexandria database.

## Properties
Magnetic moment = 0.00 μB/f.u.
Formation energy from the elements = -0.744 eV/atom
Electronic total energy = -0.233 Ha/atom
Mass density = 11.5 g/cm³

POSCAR file:
```
Tm4Pt2C
1.0
4.656 0.000 0.000
0.000 4.656 0.000
2.328 2.328 7.151
Tm Pt C
4 2 1
Cartesian
4.656 4.656 2.458
2.328 2.328 4.693
2.328 0.000 0.000
0.000 2.328 0.000
2.328 2.328 1.913
4.656 4.656 5.238
0.000 0.000 0.000
```

---

[2]
First-principles (PBE) data for a relaxed structure of Cr3P, as listed in the Alexandria database.

## Properties
Magnetic moment = 0.00 μB/f.u.
Excess energy over the best structure of this formula in the dataset = 307 meV per atom
Formation energy from the elements = -0.053 eV/atom
Electronic total energy = -0.317 Ha/atom
Mass density = 6.8 g/cm³

POSCAR file:
```
Cr3P
1.0
-3.017 1.085 2.134
-0.667 -2.531 0.343
2.141 -1.779 3.931
Cr P
3 1
Cartesian
0.709 -2.162 2.101
-0.639 -2.524 0.380
-0.403 -2.690 4.273
-1.140 -0.535 2.136
```

---

[3]
First-principles (PBE) data for a relaxed structure of MoPtC, as listed in the Alexandria database.

## Properties
Magnetic moment = 0.00 μB/f.u.
Excess energy over the best structure of this formula in the dataset = 16 meV per atom
Formation energy from the elements = 0.096 eV/atom
Electronic total energy = -0.316 Ha/atom
Mass density = 12.9 g/cm³

POSCAR file:
```
MoPtC
1.0
5.623 0.000 0.000
0.000 5.594 0.000
0.000 0.000 4.978
Mo Pt C
4 4 4
Cartesian
4.217 0.000 2.489
1.406 0.000 2.489
4.217 2.797 2.489
1.406 2.797 2.489
1.406 1.399 0.000
4.217 1.399 0.000
4.217 4.196 0.000
1.406 4.196 0.000
0.000 1.399 1.649
2.811 1.399 3.329
0.000 4.196 3.329
2.811 4.196 1.649
```

---

[4]
First-principles (PBE) data for a relaxed structure of LiTaNi14, as listed in the Alexandria database.

## Properties
Magnetic moment = 6.54 μB/f.u.
Formation energy from the elements = -0.067 eV/atom
Electronic total energy = -0.220 Ha/atom
Mass density = 9.3 g/cm³

POSCAR file:
```
LiTaNi14
1.0
-2.602 1.856 3.899
2.057 -3.470 3.024
5.371 4.458 1.463
Ni Li Ta
14 1 1
Cartesian
5.015 1.447 3.486
-0.477 -1.413 6.057
-1.505 0.322 4.545
1.237 0.879 1.235
0.824 -2.340 4.108
2.705 4.089 3.920
-0.204 -0.605 2.596
3.725 2.368 5.420
-0.054 1.800 3.169
2.257 -0.842 2.735
0.966 0.078 4.668
3.509 -0.111 4.839
3.995 3.169 1.986
1.180 2.551 5.277
2.481 1.623 3.327
2.208 0.816 6.788
```